# 1
A relaxed BeOsBr crystal. Source: Alexandria via LeMat-Bulk, functional PBE.

## Properties
Space-group type = F-43m, No. 216
Calculated total energy = -4.140 eV/atom
Raw formation energy = 1.403 eV per atom
Distance to the lowest polymorph of the same formula = 777.2 meV per atom

Lattice parameters (Å, degrees): 4.0397 4.0397 4.0397 60.00 60.00 60.00
With the nearest neighbours (Å) after each atom.
Fractional coordinates of all 3 atoms:
1 Br 0.0000 0.0000 0.0000  4 Be 2.47
2 Be 0.2500 0.2500 0.2500  4 Os 2.47, 4 Br 2.47
3 Os 0.5000 0.5000 0.5000  4 Be 2.47



# 2
A relaxed BeOsBr crystal. Source: Alexandria via LeMat-Bulk, functional PBE.

## Properties
Space-group type = I4mm, No. 107
Calculated total energy = -4.917 eV/atom
Raw formation energy = 0.626 eV per atom
Distance to the lowest polymorph of the same formula = 0.0 meV per atom

Lattice parameters (Å, degrees): 6.9400 6.9400 6.9400 155.70 155.70 34.63
With the nearest neighbours (Å) after each atom.
Fractional coordinates of all 3 atoms:
1 Be 0.1119 0.1119 0.0000  4 Os 2.31
2 Os 0.5341 0.5341 0.0000  4 Be 2.31, 1 Br 2.39
3 Br 0.3540 0.3540 0.0000  1 Os 2.39



# 3
A relaxed Be2OsBr crystal. Source: Alexandria via LeMat-Bulk, functional PBE.

## Properties
Space-group type = Imm2, No. 44
Calculated total energy = -4.279 eV/atom
Raw formation energy = 0.810 eV per atom
Distance to the lowest polymorph of the same formula = 592.1 meV per atom

Lattice parameters (Å, degrees): 4.8151 4.8151 4.8151 142.60 128.47 65.39
With the nearest neighbours (Å) after each atom.
Fractional coordinates of all 4 atoms:
1 Be 0.9852 0.9852 0.0000  2 Be 2.35, 2 Os 2.43, 4 Br 2.63
2 Be 0.7672 0.2672 0.5000  2 Be 2.35, 2 Br 2.46
3 Br 0.5306 0.5306 0.0000  6 Be 2.46-2.63, 2 Os 2.58
4 Os 0.2170 0.7170 0.5000  6 Be 2.43-2.63, 2 Br 2.58



# 4
A relaxed BeOsPd2Br crystal. Source: Alexandria via LeMat-Bulk, functional PBE.

## Properties
Space-group type = P4/mmm, No. 123
Calculated total energy = -4.314 eV/atom
Raw formation energy = 1.089 eV per atom

Lattice parameters (Å, degrees): 4.2254 4.4880 4.2254 90.00 90.00 90.00
With the nearest neighbours (Å) after each atom.
Fractional coordinates of all 5 atoms:
1 Pd 0.0000 0.0000 0.5000  2 Be 2.11
2 Pd 0.5000 0.0000 0.0000  2 Be 2.11
3 Br 0.0000 0.5000 0.0000  2 Be 2.24
4 Be 0.0000 0.0000 0.0000  4 Pd 2.11, 2 Br 2.24
5 Os 0.5000 0.5000 0.5000  4 Br 2.99, 8 Pd 3.08



# 5
A relaxed RbBe2OsBr crystal. Source: Alexandria via LeMat-Bulk, functional PBE.

## Properties
Space-group type = P4/mmm, No. 123
Calculated total energy = -2.252 eV/atom
Raw formation energy = 2.012 eV per atom

Lattice parameters (Å, degrees): 4.6563 5.7419 4.6563 90.00 90.00 90.00
With the nearest neighbours (Å) after each atom.
Fractional coordinates of all 5 atoms:
1 Br 0.0000 0.0000 0.0000  4 Be 2.33
2 Be 0.0000 0.0000 0.5000  2 Br 2.33
3 Be 0.5000 0.0000 0.0000  2 Br 2.33
4 Rb 0.0000 0.5000 0.0000  2 Br 2.87
5 Os 0.5000 0.5000 0.5000  4 Rb 3.29



# 6
A relaxed Rb2BeOsBr6 crystal. Source: Alexandria via LeMat-Bulk, functional PBE.

## Properties
Space-group type = I4/mmm, No. 139
Calculated total energy = -3.301 eV/atom
Raw formation energy = -0.608 eV per atom

Lattice parameters (Å, degrees): 7.2731 7.2731 7.2911 60.08 60.08 90.00
With the nearest neighbours (Å) after each atom.
Fractional coordinates of all 10 atoms:
1 Br 0.7491 0.7491 0.5018  1 Be 2.57, 1 Os 2.59
2 Br 0.2525 0.2525 0.0000  1 Be 2.55, 1 Os 2.60
3 Br 0.2525 0.7475 0.0000  1 Be 2.55, 1 Os 2.60
4 Br 0.2509 0.2509 0.4982  1 Be 2.57, 1 Os 2.59
5 Br 0.7475 0.2525 0.0000  1 Be 2.55, 1 Os 2.60
6 Br 0.7475 0.7475 0.0000  1 Be 2.55, 1 Os 2.60
7 Os 0.0000 0.0000 0.0000  6 Br 2.59-2.60
8 Rb 0.7500 0.2500 0.5000  12 Br 3.64-3.65
9 Rb 0.2500 0.7500 0.5000  12 Br 3.64-3.65
10 Be 0.5000 0.5000 0.0000  6 Br 2.55-2.57



# 7
A relaxed BePBr crystal. Source: Alexandria via LeMat-Bulk, functional PBE.

## Properties
Space-group type = P-6m2, No. 187
Calculated total energy = -3.387 eV/atom
Raw formation energy = 0.216 eV per atom
Distance to the lowest polymorph of the same formula = 638.1 meV per atom

Lattice parameters (Å, degrees): 3.7079 3.7079 4.7537 90.00 90.00 120.00
With the nearest neighbours (Å) after each atom.
Fractional coordinates of all 3 atoms:
1 P 0.3333 0.6667 0.8332  3 Be 2.14
2 Br 0.6667 0.3333 0.3328  6 Be 3.19-3.20, 6 P 3.20
3 Be 0.0000 0.0000 0.8340  3 P 2.14



# 8
A relaxed BePBr2 crystal. Source: Alexandria via LeMat-Bulk, functional PBE.

## Properties
Space-group type = R3m, No. 160
Calculated total energy = -2.973 eV/atom
Raw formation energy = 0.148 eV per atom
Distance to the lowest polymorph of the same formula = 383.5 meV per atom

Lattice parameters (Å, degrees): 8.4151 8.4151 8.4151 23.88 23.88 23.88
With the nearest neighbours (Å) after each atom.
Fractional coordinates of all 4 atoms:
1 Be 0.7631 0.7631 0.7631  3 P 2.33, 3 Br 2.48
2 Br 0.0371 0.0371 0.0371  3 Be 2.48
3 Br 0.2221 0.2221 0.2221  3 P 2.77
4 P 0.4777 0.4777 0.4777  3 Be 2.33



# 9
A relaxed BePBr4 crystal. Source: Alexandria via LeMat-Bulk, functional PBE.

## Properties
Space-group type = F-43m, No. 216
Calculated total energy = -1.286 eV/atom
Raw formation energy = 1.352 eV per atom

Lattice parameters (Å, degrees): 6.2554 6.2554 6.2554 60.00 60.00 60.00
With the nearest neighbours (Å) after each atom.
Fractional coordinates of all 6 atoms:
1 Br 0.3747 0.3747 0.8758  6 Br 3.12-3.13
2 Br 0.3747 0.3747 0.3747  6 Br 3.12-3.13
3 Br 0.3747 0.8758 0.3747  6 Br 3.12-3.13
4 Br 0.8758 0.3747 0.3747  6 Br 3.12-3.13
5 Be 0.0000 0.0000 0.0000  12 Br 3.67, 4 P 3.83
6 P 0.7500 0.7500 0.7500  12 Br 3.67, 4 Be 3.83



# 10
A relaxed BePBr2 crystal. Source: Alexandria via LeMat-Bulk, functional PBE.

## Properties
Space-group type = Cmm2, No. 35
Calculated total energy = -3.020 eV/atom
Raw formation energy = 0.100 eV per atom
Distance to the lowest polymorph of the same formula = 335.8 meV per atom

Lattice parameters (Å, degrees): 3.9714 3.9714 8.8751 90.00 90.00 131.72
With the nearest neighbours (Å) after each atom.
Fractional coordinates of all 4 atoms:
1 Br 0.0000 0.0000 0.8909  2 Be 2.20
2 Br 0.5000 0.5000 0.3349  2 P 2.52
3 Be 0.5000 0.5000 0.7230  2 Br 2.20, 2 P 2.23
4 P 0.0000 0.0000 0.5513  2 Be 2.23



# 11
A relaxed BePBr2 crystal. Source: Alexandria via LeMat-Bulk, functional PBE.

## Properties
Space-group type = C2/m, No. 12
Calculated total energy = -2.948 eV/atom
Raw formation energy = 0.173 eV per atom
Distance to the lowest polymorph of the same formula = 408.4 meV per atom

Lattice parameters (Å, degrees): 6.6700 6.6700 5.2062 77.27 77.27 27.65
With the nearest neighbours (Å) after each atom.
Fractional coordinates of all 4 atoms:
1 P 0.2500 0.2500 0.2500  2 Br 2.59
2 Be 0.7500 0.7500 0.7500  4 Br 2.31
3 Br 0.3755 0.3755 0.5739  2 Be 2.31
4 Br 0.1245 0.1245 0.9261  2 Be 2.31



# 12
A relaxed BePBr2 crystal. Source: Alexandria via LeMat-Bulk, functional PBE.

## Properties
Space-group type = Fmmm, No. 69
Calculated total energy = -2.583 eV/atom
Raw formation energy = 0.537 eV per atom
Distance to the lowest polymorph of the same formula = 773.0 meV per atom

Lattice parameters (Å, degrees): 4.8781 4.8363 4.8759 64.51 81.59 115.51
With the nearest neighbours (Å) after each atom.
Fractional coordinates of all 4 atoms:
1 Be 0.5000 0.5000 0.0000  4 Br 2.59
2 Br 0.0000 0.0000 0.0000  2 Be 2.59, 2 P 2.59
3 Br 0.5000 0.0000 0.5000  2 P 2.59, 2 Be 2.59
4 P 0.0000 0.5000 0.5000  4 Br 2.59



# 13
A relaxed BePBr2 crystal. Source: Alexandria via LeMat-Bulk, functional PBE.

## Properties
Space-group type = P4/mmm, No. 123
Calculated total energy = -2.167 eV/atom
Raw formation energy = 0.954 eV per atom
Distance to the lowest polymorph of the same formula = 1189.3 meV per atom

Lattice parameters (Å, degrees): 3.3354 4.8065 4.8065 90.00 90.00 90.00
With the nearest neighbours (Å) after each atom.
Fractional coordinates of all 4 atoms:
1 Br 0.0000 0.0000 0.0000  4 Be 2.93, 4 P 2.93
2 Br 0.0000 0.5000 0.5000  4 Be 2.93, 4 P 2.93
3 Be 0.5000 0.0000 0.5000  8 Br 2.93
4 P 0.5000 0.5000 0.0000  8 Br 2.93



# 14
A relaxed BePBr crystal. Source: Alexandria via LeMat-Bulk, functional PBE.

## Properties
Space-group type = F-43m, No. 216
Calculated total energy = -2.822 eV/atom
Raw formation energy = 0.781 eV per atom
Distance to the lowest polymorph of the same formula = 1203.7 meV per atom

Lattice parameters (Å, degrees): 4.2605 4.2605 4.2605 60.00 60.00 60.00
With the nearest neighbours (Å) after each atom.
Fractional coordinates of all 3 atoms:
1 P 0.5000 0.5000 0.5000  4 Be 2.61
2 Br 0.0000 0.0000 0.0000  4 Be 2.61
3 Be 0.7500 0.7500 0.7500  4 P 2.61, 4 Br 2.61



# 15
A relaxed BeP3Br crystal. Source: Alexandria via LeMat-Bulk, functional PBE.

## Properties
Space-group type = Pm-3m, No. 221
Calculated total energy = -3.471 eV/atom
Raw formation energy = 0.855 eV per atom
Distance to the lowest polymorph of the same formula = 0.0 meV per atom

Lattice parameters (Å, degrees): 4.3833 4.3833 4.3833 90.00 90.00 90.00
With the nearest neighbours (Å) after each atom.
Fractional coordinates of all 5 atoms:
1 Br 0.5000 0.5000 0.5000  12 P 3.10
2 P 0.0000 0.0000 0.5000  2 Be 2.19
3 P 0.5000 0.0000 0.0000  2 Be 2.19
4 P 0.0000 0.5000 0.0000  2 Be 2.19
5 Be 0.0000 0.0000 0.0000  6 P 2.19



# 16
A relaxed BePBr2 crystal. Source: Alexandria via LeMat-Bulk, functional PBE.

## Properties
Space-group type = I-42d, No. 122
Calculated total energy = -2.858 eV/atom
Raw formation energy = 0.262 eV per atom
Distance to the lowest polymorph of the same formula = 498.1 meV per atom

Lattice parameters (Å, degrees): 7.0232 7.0232 6.8196 59.01 59.01 90.00
With the nearest neighbours (Å) after each atom.
Fractional coordinates of all 8 atoms:
1 Br 0.3750 0.5190 0.7500  2 Be 2.24
2 Br 0.2690 0.6250 0.2500  2 Be 2.24
3 Br 0.4810 0.1250 0.2500  2 Be 2.24
4 Br 0.8750 0.7310 0.7500  2 Be 2.24
5 P 0.7500 0.2500 0.5000  4 Br 3.48
6 P 0.0000 0.0000 0.0000  4 Br 3.48
7 Be 0.2500 0.7500 0.5000  4 Br 2.24
8 Be 0.5000 0.5000 0.0000  4 Br 2.24



# 17
A relaxed BePBr2 crystal. Source: Alexandria via LeMat-Bulk, functional PBE.

## Properties
Space-group type = P4mm, No. 99
Calculated total energy = -3.263 eV/atom
Raw formation energy = -0.143 eV per atom
Distance to the lowest polymorph of the same formula = 93.0 meV per atom

Lattice parameters (Å, degrees): 3.3821 3.3826 8.3007 90.00 90.00 90.00
With the nearest neighbours (Å) after each atom.
Fractional coordinates of all 4 atoms:
1 Br 0.5000 0.5000 0.3365  1 Be 2.03
2 Br 0.0000 0.0000 0.9246  1 P 2.22
3 Be 0.5000 0.5000 0.5813  1 Br 2.03
4 P 0.0000 0.0000 0.6576  1 Br 2.22, 4 Be 2.47



# 18
A relaxed BePBr2 crystal. Source: Alexandria via LeMat-Bulk, functional PBE.

## Properties
Space-group type = Imm2, No. 44
Calculated total energy = -3.134 eV/atom
Raw formation energy = -0.014 eV per atom
Distance to the lowest polymorph of the same formula = 222.1 meV per atom

Lattice parameters (Å, degrees): 8.5919 8.5919 8.5919 157.98 148.03 39.16
With the nearest neighbours (Å) after each atom.
Fractional coordinates of all 4 atoms:
1 Be 0.2119 0.7119 0.5000  2 Br 2.27, 2 P 2.33
2 Br 0.8590 0.3590 0.5000  2 P 2.48
3 Br 0.1152 0.1152 0.0000  2 Be 2.27
4 P 0.3138 0.3138 0.0000  2 Be 2.33, 2 Br 2.48



# 19
A relaxed BePBr2 crystal. Source: Alexandria via LeMat-Bulk, functional PBE.

## Properties
Space-group type = Pm, No. 6
Calculated total energy = -3.356 eV/atom
Raw formation energy = -0.236 eV per atom
Distance to the lowest polymorph of the same formula = 0.0 meV per atom

Lattice parameters (Å, degrees): 3.8641 4.1666 7.5127 67.11 90.00 90.00
With the nearest neighbours (Å) after each atom.
Fractional coordinates of all 4 atoms:
1 Be 0.5000 0.6936 0.5551  2 P 2.13, 1 Br 2.15
2 P 0.0000 0.5584 0.6833  2 Be 2.13, 1 Br 2.21
3 Br 0.5000 0.2392 0.3734  1 Be 2.15
4 Br 0.0000 0.0089 0.8882  1 P 2.21



# 20
A relaxed BePBr2 crystal. Source: Alexandria via LeMat-Bulk, functional PBE.

## Properties
Space-group type = P4/mmm, No. 123
Calculated total energy = -2.426 eV/atom
Raw formation energy = 0.695 eV per atom
Distance to the lowest polymorph of the same formula = 930.4 meV per atom

Lattice parameters (Å, degrees): 3.0807 3.0798 11.4792 90.00 90.00 90.00
With the nearest neighbours (Å) after each atom.
Fractional coordinates of all 4 atoms:
1 Br 0.0000 0.0000 0.8843  4 Be 2.67
2 Br 0.0000 0.0000 0.6157  4 Be 2.67
3 P 0.5000 0.5000 0.2500  4 P 3.08
4 Be 0.5000 0.5000 0.7500  8 Br 2.67